Record 1
Below is SrPmAu after structural relaxation, with properties calculated at the PBE level.

a = 5.1093 Å, b = 5.1093 Å, c = 7.7748 Å
α = 90.03°, β = 90.03°, γ = 90.00°
Closest atoms and distances in Å follow each position.
Atoms (fractional coordinates):
Sr 0.8137 0.8666 0.5434  1 Au 3.24
Sr 0.3133 0.3663 0.2958  1 Au 3.24
Pm 0.8135 0.3666 0.9196  4 Au 3.02
Pm 0.3137 0.8664 0.9196  4 Au 3.02
Au 0.8140 0.8669 0.1268  4 Pm 3.02, 1 Sr 3.24
Au 0.3132 0.3661 0.7125  4 Pm 3.02, 1 Sr 3.24

Output
Energy relative to the lowest polymorph listed for this composition   0 meV per atom
Energy of formation from the pure elements   -147 kJ/mol of formula units
DOS at the Fermi energy   7.73 states/eV/cell

Record 2
Below is La5Hg2O2 after structural relaxation, with properties calculated at the PBE level.

a = 7.2385 Å, b = 7.2649 Å, c = 10.7931 Å
α = 109.67°, β = 109.59°, γ = 90.00°
Closest atoms and distances in Å follow each position.
Atoms (fractional coordinates):
La 0.7680 0.7802 0.0401  2 O 2.59
La 0.2320 0.7400 0.9599  2 O 2.59
La 0.7721 0.2802 0.0401  2 O 2.59
La 0.2279 0.2400 0.9599  2 O 2.59
La 0.7662 0.8636 0.7239  1 O 2.30
La 0.2338 0.1397 0.2761  1 O 2.30
La 0.4578 0.3636 0.7239  1 O 2.30
La 0.5422 0.6397 0.2761  1 O 2.30
La 0.9908 0.0154 0.5000  2 O 2.43-2.44
La 0.0092 0.5154 0.5000  2 O 2.43-2.44
Hg 0.8956 0.3854 0.7412  5 La 3.11-3.38
Hg 0.1044 0.6443 0.2588  5 La 3.11-3.38
Hg 0.3455 0.8854 0.7412  5 La 3.11-3.38
Hg 0.6545 0.1443 0.2588  5 La 3.11-3.38
O 0.0000 0.0084 0.0000  6 La 2.59-2.71
O 0.5000 0.5084 0.0000  6 La 2.59-2.71
O 0.7763 0.7589 0.5000  4 La 2.30-2.44
O 0.2237 0.2589 0.5000  4 La 2.30-2.44

Output
Calculated total energy   -96.54 eV for the cell shown
DOS at the Fermi energy   10.92 states/eV/cell

Record 3
Below is Y3Er3TmSe8 after structural relaxation, with properties calculated at the PBE level.

a = 8.0861 Å, b = 8.0865 Å, c = 8.0968 Å
α = 119.96°, β = 90.00°, γ = 120.00°
Closest atoms and distances in Å follow each position.
Atoms (fractional coordinates):
Y 0.0000 0.0000 0.0000  6 Se 2.88
Y 0.0000 0.5000 0.0000  6 Se 2.88
Y 0.5000 0.5000 0.0000  6 Se 2.88
Er 0.5000 0.0000 0.5000  6 Se 2.84-2.85
Er 0.5000 0.5000 0.5000  6 Se 2.84
Er 0.0000 0.5000 0.5000  6 Se 2.84
Tm 0.0000 0.0000 0.5000  6 Se 2.88
Se 0.2514 0.5027 0.2543  3 Er 2.84-2.85, 3 Y 2.88
Se 0.7486 0.4973 0.7457  3 Er 2.84-2.85, 3 Y 2.88
Se 0.7485 0.4971 0.2516  2 Er 2.84, 1 Tm 2.88, 2 Y 2.88
Se 0.2515 0.5029 0.7484  2 Er 2.84, 1 Tm 2.88, 2 Y 2.88
Se 0.7488 0.0030 0.2516  2 Er 2.84, 1 Tm 2.88, 2 Y 2.88
Se 0.2512 0.9970 0.7484  2 Er 2.84, 1 Tm 2.88, 2 Y 2.88
Se 0.2542 0.0030 0.2516  2 Er 2.84, 1 Tm 2.88, 2 Y 2.88
Se 0.7458 0.9970 0.7484  2 Er 2.84, 1 Tm 2.88, 2 Y 2.88

Output
Calculated total energy   -92.67 eV for the cell shown
DOS at the Fermi energy   6.27 states/eV/cell

Record 4
Below is Eu3W after structural relaxation, with properties calculated at the PBE level.

a = 5.7561 Å, b = 5.7561 Å, c = 5.7561 Å
α = 128.50°, β = 128.50°, γ = 75.81°
Closest atoms and distances in Å follow each position.
Atoms (fractional coordinates):
Eu 0.7500 0.2500 0.5000  4 W 3.38, 8 Eu 3.38-3.54
Eu 0.2500 0.7500 0.5000  4 W 3.38, 8 Eu 3.38-3.54
Eu 0.5000 0.5000 0.0000  8 Eu 3.38, 4 W 3.54
W 0.0000 0.0000 0.0000  12 Eu 3.38-3.54

Output
Energy relative to the lowest polymorph listed for this composition   16 meV per atom
Energy of formation from the pure elements   294 kJ/mol of formula units
DOS at the Fermi energy   3.65 states/eV/cell

Record 5
Below is NaPm2Mg after structural relaxation, with properties calculated at the PBE level.

a = 3.4886 Å, b = 3.4886 Å, c = 12.7134 Å
α = 82.11°, β = 82.11°, γ = 60.00°
Closest atoms and distances in Å follow each position.
Atoms (fractional coordinates):
Na 0.0000 0.0000 0.0000  6 Na 3.49, 2 Pm 3.58
Mg 0.5000 0.5000 0.5000  6 Pm 3.37, 6 Mg 3.49
Pm 0.0950 0.0950 0.7149  3 Mg 3.37, 6 Pm 3.49, 1 Na 3.58
Pm 0.9050 0.9050 0.2851  3 Mg 3.37, 6 Pm 3.49, 1 Na 3.58

Output
Energy relative to the lowest polymorph listed for this composition   64 meV per atom
Energy of formation from the pure elements   61 kJ/mol of formula units
DOS at the Fermi energy   4.30 states/eV/cell

Record 6
Below is Li2La2TmSn2 after structural relaxation, with properties calculated at the PBE level.

a = 4.7899 Å, b = 4.7899 Å, c = 9.5811 Å
α = 75.52°, β = 75.52°, γ = 60.00°
Closest atoms and distances in Å follow each position.
Atoms (fractional coordinates):
Li 0.6086 0.6086 0.1743  3 Sn 2.77
Li 0.3914 0.3914 0.8257  3 Sn 2.77
La 0.1305 0.1305 0.6086  3 Sn 3.32, 3 Li 3.41, 3 La 3.41, 1 Tm 3.59
La 0.8695 0.8695 0.3914  3 Sn 3.32, 3 Li 3.41, 3 La 3.41, 1 Tm 3.59
Tm 0.0000 0.0000 0.0000  6 Li 3.19, 6 Sn 3.27
Sn 0.7302 0.7302 0.8095  3 Li 2.77
Sn 0.2698 0.2698 0.1905  3 Li 2.77

Output
Energy of formation from the pure elements   -320 kJ/mol of formula units
DOS at the Fermi energy   4.60 states/eV/cell

Record 7
Below is Tl2CdInHg after structural relaxation, with properties calculated at the PBE level.

a = 5.5163 Å, b = 8.6653 Å, c = 6.0557 Å
α = 105.04°, β = 90.00°, γ = 90.00°
Closest atoms and distances in Å follow each position.
Atoms (fractional coordinates):
Tl 0.7500 0.8774 0.5431  3 Hg 3.26-3.32, 1 Cd 3.41, 3 In 3.42-3.47, 4 Tl 3.51-3.60
Tl 0.7500 0.6589 0.9577  4 Cd 3.28-3.56, 3 Hg 3.28-3.38, 2 Tl 3.51-3.56, 3 In 3.55-3.67
Tl 0.2500 0.1226 0.4569  3 Hg 3.26-3.32, 1 Cd 3.41, 3 In 3.42-3.47, 4 Tl 3.51-3.60
Tl 0.2500 0.3411 0.0423  4 Cd 3.28-3.56, 3 Hg 3.28-3.38, 2 Tl 3.51-3.56, 3 In 3.55-3.67
Cd 0.2500 0.5299 0.6385  1 Hg 3.02, 2 Cd 3.20, 1 In 3.21, 1 Tl 3.28
Cd 0.7500 0.4701 0.3615  1 Hg 3.02, 2 Cd 3.20, 1 In 3.21, 1 Tl 3.28
In 0.2500 0.9030 0.8999  1 Hg 3.14, 1 Cd 3.21, 2 In 3.29, 3 Tl 3.42-3.47
In 0.7500 0.0970 0.1001  1 Hg 3.14, 1 Cd 3.21, 2 In 3.29, 3 Tl 3.42-3.47
Hg 0.2500 0.7258 0.2920  1 Cd 3.02, 1 In 3.14, 6 Tl 3.26-3.38
Hg 0.7500 0.2742 0.7080  1 Cd 3.02, 1 In 3.14, 6 Tl 3.26-3.38

Output
Energy of formation from the pure elements   12 kJ/mol of formula units
DOS at the Fermi energy   4.07 states/eV/cell

Record 8
Below is Sr2LiIrN2 after structural relaxation, with properties calculated at the PBE level.

a = 4.2146 Å, b = 6.3433 Å, c = 8.5110 Å
α = 90.00°, β = 90.00°, γ = 90.00°
Closest atoms and distances in Å follow each position.
Atoms (fractional coordinates):
Sr 0.5000 0.1220 0.2493  3 N 2.57-2.72
Sr 0.0000 0.6220 0.2507  3 N 2.57-2.72
Sr 0.5000 0.8780 0.7507  3 N 2.57-2.72
Sr 0.0000 0.3780 0.7493  3 N 2.57-2.72
Li 0.5000 0.5000 0.0000  4 N 2.63
Li 0.0000 0.0000 0.5000  4 N 2.63
Ir 0.0000 0.0000 0.0000  2 N 1.93
Ir 0.5000 0.5000 0.5000  2 N 1.93
N 0.5000 0.7815 0.4135  1 Ir 1.93
N 0.5000 0.2185 0.5865  1 Ir 1.93
N 0.0000 0.7185 0.9135  1 Ir 1.93
N 0.0000 0.2815 0.0865  1 Ir 1.93

Output
Calculated total energy   -64.80 eV for the cell shown
DOS at the Fermi energy   7.95 states/eV/cell

Record 9
Below is BaNa2Pb9 after structural relaxation, with properties calculated at the PBE level.

a = 6.7668 Å, b = 6.7668 Å, c = 11.2632 Å
α = 72.52°, β = 72.52°, γ = 60.00°
Closest atoms and distances in Å follow each position.
Atoms (fractional coordinates):
Ba 0.0000 0.0000 0.0000  18 Pb 3.91-4.34
Na 0.8587 0.8587 0.4238  12 Pb 3.81-3.99, 3 Na 4.23
Na 0.1413 0.1413 0.5762  12 Pb 3.81-3.99, 3 Na 4.23
Pb 0.6630 0.6630 0.0110  6 Pb 3.29-3.42
Pb 0.3370 0.3370 0.9890  6 Pb 3.29-3.42
Pb 0.5000 0.5000 0.5000  6 Pb 3.25
Pb 0.4099 0.4099 0.2577  7 Pb 3.25-3.47
Pb 0.9224 0.4099 0.2577  7 Pb 3.25-3.47
Pb 0.4099 0.9224 0.2577  7 Pb 3.25-3.47
Pb 0.5901 0.5901 0.7423  7 Pb 3.25-3.47
Pb 0.5901 0.0776 0.7423  7 Pb 3.25-3.47
Pb 0.0776 0.5901 0.7423  7 Pb 3.25-3.47

Output
Energy of formation from the pure elements   -175 kJ/mol of formula units
DOS at the Fermi energy   4.28 states/eV/cell

Record 10
Below is Li5CuPd6 after structural relaxation, with properties calculated at the PBE level.

a = 4.2494 Å, b = 6.0145 Å, c = 7.3389 Å
α = 114.19°, β = 106.83°, γ = 90.00°
Closest atoms and distances in Å follow each position.
Atoms (fractional coordinates):
Pd 0.1669 0.4187 0.3339  7 Li 2.59-2.63, 1 Cu 2.60
Pd 0.1669 0.9152 0.3339  7 Li 2.59-2.63, 1 Cu 2.60
Pd 0.5000 0.2529 0.0000  6 Li 2.56-2.60, 2 Cu 2.61
Pd 0.5000 0.7471 0.0000  6 Li 2.56-2.60, 2 Cu 2.61
Pd 0.8331 0.0848 0.6661  7 Li 2.59-2.63, 1 Cu 2.60
Pd 0.8331 0.5813 0.6661  7 Li 2.59-2.63, 1 Cu 2.60
Cu 0.0000 0.0000 0.0000  8 Pd 2.60-2.61
Li 0.3378 0.8378 0.6756  8 Pd 2.56-2.63
Li 0.6679 0.6679 0.3357  8 Pd 2.59-2.60
Li 0.0000 0.5000 0.0000  8 Pd 2.59
Li 0.3321 0.3321 0.6643  8 Pd 2.59-2.60
Li 0.6622 0.1622 0.3244  8 Pd 2.56-2.63

Output
Energy of formation from the pure elements   -441 kJ/mol of formula units
DOS at the Fermi energy   4.61 states/eV/cell

Question: Which of these has the lowest DOS at the Fermi energy?
Answer: Eu3W